# PBE H3AuSeF, optimized geometry
# * distance to the lowest polymorph of the same formula: 32 meV per atom
# * DOS at the Fermi energy: 0.8 states/eV/f.u.
# * total moment: 0.00 μB/f.u.
# * energy: -42.20 eV for the cell shown
data_H3AuSeF
_chemical_formula_sum 'H6 Au2 Se2 F2'
_cell_length_a 3.591
_cell_length_b 5.023
_cell_length_c 10.909
_cell_angle_alpha 90.00
_cell_angle_beta 90.36
_cell_angle_gamma 90.00
_symmetry_space_group_name_H-M 'P 1'
_symmetry_Int_Tables_number 1
_symmetry_space_group_name_Hall 'P 1'
loop_
_atom_site_label
_atom_site_type_symbol
_atom_site_fract_x
_atom_site_fract_y
_atom_site_fract_z
Au1 Au 0.843 0.500 0.571
Au2 Au 0.843 0.000 0.071
Se1 Se 0.822 0.000 0.616
Se2 Se 0.822 0.500 0.116
H1 H 0.341 0.500 0.569
H2 H 0.194 0.500 0.178
H3 H 0.086 0.000 0.419
H4 H 0.194 0.000 0.678
H5 H 0.341 0.000 0.069
H6 H 0.086 0.500 0.919
F1 F 0.241 0.000 0.348
F2 F 0.241 0.500 0.848